(1)
# GGA-PBEsol RbCaTaPb2, optimized geometry
data_RbCaTaPb2
_chemical_formula_sum 'Rb1 Ca1 Ta1 Pb2'
_cell_length_a 5.8481
_cell_length_b 5.8481
_cell_length_c 5.3401
_cell_angle_alpha 90.00
_cell_angle_beta 90.00
_cell_angle_gamma 90.00
_symmetry_space_group_name_H-M 'P 1'
_symmetry_Int_Tables_number 1
loop_
_symmetry_equiv_pos_as_xyz
'x,y,z'
loop_
_atom_site_label
_atom_site_fract_x
_atom_site_fract_y
_atom_site_fract_z
Rb1 0.0000 0.0000 0.0000
Ca1 0.5000 0.5000 0.5000
Ta1 0.0000 0.0000 0.5000
Pb1 0.0000 0.5000 0.0000
Pb2 0.5000 0.0000 0.0000
# Crystal system   tetragonal
# Formation energy from the elements   8.8 eV per formula unit

***

(2)
# GGA-PBEsol CaRePb, optimized geometry
data_CaRePb
_chemical_formula_sum 'Ca4 Re4 Pb4'
_cell_length_a 6.6600
_cell_length_b 6.6600
_cell_length_c 6.6600
_cell_angle_alpha 90.00
_cell_angle_beta 90.00
_cell_angle_gamma 90.00
_symmetry_space_group_name_H-M 'P 1'
_symmetry_Int_Tables_number 1
loop_
_symmetry_equiv_pos_as_xyz
'x,y,z'
loop_
_atom_site_label
_atom_site_fract_x
_atom_site_fract_y
_atom_site_fract_z
Ca1 0.0000 0.0000 0.0000
Ca2 0.0000 0.5000 0.5000
Ca3 0.5000 0.0000 0.5000
Ca4 0.5000 0.5000 0.0000
Re1 0.2500 0.2500 0.7500
Re2 0.2500 0.7500 0.2500
Re3 0.7500 0.2500 0.2500
Re4 0.7500 0.7500 0.7500
Pb1 0.0000 0.0000 0.5000
Pb2 0.0000 0.5000 0.0000
Pb3 0.5000 0.0000 0.0000
Pb4 0.5000 0.5000 0.5000
# Crystal system   cubic
# Formation energy from the elements   2.9 eV per formula unit

***

(3)
# GGA-PBEsol CaRe3Pb, optimized geometry
data_CaRe3Pb
_chemical_formula_sum 'Ca1 Re3 Pb1'
_cell_length_a 4.6709
_cell_length_b 4.6709
_cell_length_c 4.6709
_cell_angle_alpha 90.00
_cell_angle_beta 90.00
_cell_angle_gamma 90.00
_symmetry_space_group_name_H-M 'P 1'
_symmetry_Int_Tables_number 1
loop_
_symmetry_equiv_pos_as_xyz
'x,y,z'
loop_
_atom_site_label
_atom_site_fract_x
_atom_site_fract_y
_atom_site_fract_z
Ca1 0.0000 0.0000 0.0000
Re1 0.0000 0.0000 0.5000
Re2 0.0000 0.5000 0.0000
Re3 0.5000 0.0000 0.0000
Pb1 0.5000 0.5000 0.5000
# Crystal system   cubic
# Formation energy from the elements   16.0 eV per formula unit